DFT (GGA-PBE) results for an optimized crystal structure of V2InFeH.

Properties
- space-group type = P4/mmm, No. 123
- E_tot (eV per atom) = -6.518
- total magnetization (μB per atom) = 0.4304

```
V2InFeH
1.0
3.8378 0.0000 0.0000
0.0000 3.8378 0.0000
0.0000 0.0000 4.1008
H V Fe In
1 2 1 1
Cartesian
0.0000 0.0000 0.0000
0.0000 1.9189 0.0000
1.9189 0.0000 0.0000
0.0000 0.0000 2.0504
1.9189 1.9189 2.0504
```